Compound: Ce2Ga2Au
Source: Alexandria via LeMat-Bulk
Functional: PBE-GGA
Structure: relaxed

a = 7.076 Å, b = 7.076 Å, c = 3.626 Å
α = 90.00°, β = 90.00°, γ = 142.76°
Positions (direct):
Ce 0.109 0.891 0.000
Ce 0.891 0.109 0.000
Ga 0.300 0.700 0.500
Ga 0.700 0.300 0.500
Au 0.500 0.500 0.500

Properties
Relative energy among the computed polymorphs (meV/atom): 49
VASP energy (eV/atom): -4.795
Formation energy (eV per atom): -0.556
Total magnetization (μB per formula unit): 0.6

***

Compound: ZnIn2As
Source: Alexandria via LeMat-Bulk
Functional: PBE-GGA
Structure: relaxed

a = 5.579 Å, b = 5.579 Å, c = 5.202 Å
α = 109.27°, β = 109.27°, γ = 36.86°
Positions (direct):
Zn 0.000 0.000 0.000
In 0.555 0.555 0.500
In 0.753 0.753 0.162
As 0.327 0.327 0.698

Properties
Relative energy among the computed polymorphs (meV/atom): 60
VASP energy (eV/atom): -2.748
Formation energy (eV per atom): 0.102
Total magnetization (μB per formula unit): 0.0

***

Compound: Ta3MoH7
Source: Alexandria via LeMat-Bulk
Functional: PBE-GGA
Structure: relaxed

a = 4.458 Å, b = 4.458 Å, c = 5.447 Å
α = 113.90°, β = 113.90°, γ = 89.90°
Positions (direct):
Ta 0.000 0.000 0.000
Ta 0.241 0.755 0.511
Ta 0.755 0.241 0.511
Mo 0.487 0.487 0.002
H 0.125 0.616 0.760
H 0.373 0.373 0.257
H 0.373 0.869 0.253
H 0.616 0.125 0.760
H 0.622 0.622 0.761
H 0.863 0.863 0.246
H 0.869 0.373 0.253

Properties
VASP energy (eV/atom): -6.450
Total magnetization (μB per formula unit): 0.0

***

Compound: LaNd7Ho3
Source: Alexandria via LeMat-Bulk
Functional: PBE-GGA
Structure: relaxed

a = 8.599 Å, b = 8.599 Å, c = 8.599 Å
α = 139.46°, β = 97.39°, γ = 96.40°
Positions (direct):
La 0.000 0.000 0.000
Nd 0.000 0.500 0.500
Nd 0.096 0.296 0.800
Nd 0.291 0.000 0.291
Nd 0.496 0.296 0.200
Nd 0.504 0.704 0.800
Nd 0.709 0.000 0.709
Nd 0.904 0.704 0.200
Ho 0.298 0.798 0.500
Ho 0.500 0.500 0.000
Ho 0.702 0.202 0.500

Properties
VASP energy (eV/atom): -4.518
Formation energy (eV per atom): 0.212
Total magnetization (μB per formula unit): 0.3

***

Compound: TbInCu
Source: Alexandria via LeMat-Bulk
Functional: PBE-GGA
Structure: relaxed

a = 7.499 Å, b = 7.499 Å, c = 3.966 Å
α = 90.00°, β = 90.00°, γ = 120.00°
Positions (direct):
Tb 0.000 0.589 0.000
Tb 0.411 0.411 0.000
Tb 0.589 0.000 0.000
In 0.000 0.254 0.500
In 0.254 0.000 0.500
In 0.746 0.746 0.500
Cu 0.000 0.000 0.000
Cu 0.333 0.667 0.500
Cu 0.667 0.333 0.500

Properties
VASP energy (eV/atom): -4.244
Formation energy (eV per atom): -0.423
Total magnetization (μB per formula unit): 0.0

***

Compound: Rb2TaRhBr6
Source: Alexandria via LeMat-Bulk
Functional: PBE-GGA
Structure: relaxed

a = 7.544 Å, b = 7.544 Å, c = 7.544 Å
α = 119.25°, β = 119.25°, γ = 91.31°
Positions (direct):
Rb 0.250 0.750 0.500
Rb 0.750 0.250 0.500
Ta 0.000 0.000 0.000
Rh 0.500 0.500 0.000
Br 0.244 0.244 0.487
Br 0.244 0.756 0.000
Br 0.248 0.248 0.000
Br 0.752 0.752 0.000
Br 0.756 0.244 0.000
Br 0.756 0.756 0.513

Properties
VASP energy (eV/atom): -3.911
Total magnetization (μB per formula unit): 1.2

***

Compound: Sm2AlAg3
Source: Alexandria via LeMat-Bulk
Functional: PBE-GGA
Structure: relaxed

a = 9.559 Å, b = 9.005 Å, c = 5.888 Å
α = 76.70°, β = 66.47°, γ = 36.83°
Positions (direct):
Sm 0.244 0.756 0.756
Sm 0.250 0.250 0.250
Sm 0.750 0.750 0.750
Sm 0.756 0.244 0.244
Al 0.333 0.333 0.667
Al 0.667 0.667 0.333
Ag 0.171 0.171 0.829
Ag 0.173 0.657 0.343
Ag 0.343 0.827 0.173
Ag 0.657 0.173 0.827
Ag 0.827 0.343 0.657
Ag 0.829 0.829 0.171

Properties
Relative energy among the computed polymorphs (meV/atom): 17
VASP energy (eV/atom): -3.928
Formation energy (eV per atom): -0.306
Total magnetization (μB per formula unit): 0.0

***

Compound: PmGdCdGe
Source: Alexandria via LeMat-Bulk
Functional: PBE-GGA
Structure: relaxed

a = 5.234 Å, b = 5.234 Å, c = 5.234 Å
α = 60.00°, β = 60.00°, γ = 60.00°
Positions (direct):
Pm 0.000 0.000 0.000
Gd 0.500 0.500 0.500
Cd 0.750 0.750 0.750
Ge 0.250 0.250 0.250

Properties
VASP energy (eV/atom): -6.581
Formation energy (eV per atom): -0.490
Total magnetization (μB per formula unit): 7.3